(1)
A relaxed Li2CrCo3O8 crystal, computed with PBEsol.

a b c (Å): 5.5922 5.5922 8.9784
angles (deg): 90.00 90.00 120.00
Space group P6_3mc (No. 186)
Unique sites:
1 Li 0.0000 0.0000 0.0000 (multiplicity 2)
2 Li 0.3333 0.6667 0.1073 (multiplicity 2)
3 Cr 0.3333 0.6667 0.5060 (multiplicity 2)
4 Co 0.1701 0.3402 0.7868 (multiplicity 6)
5 O 0.0000 0.0000 0.1924 (multiplicity 2)
6 O 0.0438 0.5219 0.6603 (multiplicity 6)
7 O 0.1685 0.3369 0.3972 (multiplicity 6)
8 O 0.3333 0.6667 0.8927 (multiplicity 2)

Values from the calculation:
- Formation energy (no corrections): -144.6 kJ per mole of atoms
- Total moment: 1.901 μB/cell
- N(E_F): 0.528 states/eV per atom
- Energy: -7.169 eV per atom

(2)
A relaxed Li4Cr3CoO8 crystal, computed with PBEsol.

a b c (Å): 9.950 5.749 4.994
angles (deg): 90.00 109.33 90.00
Space group C2/m (No. 12)
Unique sites:
1 Li 0.000 0.245 0.000 (multiplicity 4)
2 Li 0.246 0.000 0.991 (multiplicity 4)
3 Cr 0.000 0.500 0.500 (multiplicity 2)
4 Cr 0.250 0.250 0.500 (multiplicity 4)
5 Co 0.000 0.000 0.500 (multiplicity 2)
6 O 0.120 0.247 0.724 (multiplicity 8)
7 O 0.127 0.000 0.276 (multiplicity 4)
8 O 0.129 0.500 0.273 (multiplicity 4)

Values from the calculation:
- Formation energy (no corrections): -184.0 kJ per mole of atoms
- Total moment: 18.002 μB/cell
- Energy: -7.427 eV per atom

(3)
A relaxed Li4Cr3CoO8 crystal, computed with PBEsol.

a b c (Å): 9.997 5.749 4.972
angles (deg): 90.00 109.38 90.00
Space group C2/m (No. 12)
Unique sites:
1 Li 0.248 0.000 0.487 (multiplicity 4)
2 Li 0.250 0.250 0.000 (multiplicity 4)
3 Cr 0.000 0.247 0.500 (multiplicity 4)
4 Cr 0.000 0.500 0.000 (multiplicity 2)
5 Co 0.000 0.000 0.000 (multiplicity 2)
6 O 0.112 0.247 0.239 (multiplicity 8)
7 O 0.113 0.000 0.746 (multiplicity 4)
8 O 0.113 0.500 0.741 (multiplicity 4)

Values from the calculation:
- Formation energy (no corrections): -184.1 kJ per mole of atoms
- Total moment: 18.001 μB/cell
- Energy: -7.428 eV per atom

(4)
A relaxed Li3CrCo3O8 crystal, computed with PBEsol.

a b c (Å): 5.6062 5.6062 14.1284
angles (deg): 90.00 90.00 120.00
Space group R-3m (No. 166, hexagonal axes)
Unique sites:
1 Li 0.0000 0.5000 0.0000 (multiplicity 9)
2 Cr 0.0000 0.0000 0.5000 (multiplicity 3)
3 Co 0.0000 0.5000 0.5000 (multiplicity 9)
4 O 0.0000 0.0000 0.2376 (multiplicity 6)
5 O 0.0002 0.5001 0.2380 (multiplicity 18)

Values from the calculation:
- Formation energy (no corrections): -149.6 kJ per mole of atoms
- Total moment: 7.091 μB/cell
- N(E_F): 0.643 states/eV per atom
- Energy: -6.973 eV per atom